VASP calculation (PBE) on a relaxed structure of AlHg2Pb.

```
AlHg2Pb
1.0
8.468 0.000 0.000
0.000 3.569 0.000
-1.501 0.000 6.721
Al Hg Pb
2 4 2
Cartesian
0.000 0.000 0.000
4.234 1.785 0.000
1.708 1.785 1.370
1.025 0.000 5.351
5.942 0.000 1.370
5.259 1.785 5.351
-0.751 1.785 3.360
3.483 0.000 3.360
```

Results
SG ... C2/m
N(E_F) ... 0.359 states/eV/atom
E_form ... 0.5 eV per formula unit
Electronic total energy ... -0.0695 hartree per atom

---

VASP calculation (PBE) on a relaxed structure of AlHg2Pb.

```
AlHg2Pb
1.0
3.469 0.000 0.000
0.000 5.615 0.000
0.000 0.000 10.345
Al Hg Pb
2 4 2
Cartesian
0.000 0.000 0.000
1.734 2.807 5.173
0.000 2.807 2.887
0.000 2.807 7.458
1.734 0.000 2.286
1.734 0.000 8.060
0.000 0.000 5.173
1.734 2.807 0.000
```

Results
SG ... Immm
N(E_F) ... 0.400 states/eV/atom
E_form ... 0.5 eV per formula unit
Electronic total energy ... -0.0692 hartree per atom